The following is a DFT calculation (PBE) of FeCl3 after structural relaxation.

```
FeCl3
1.0
6.968 10.631 3.783
4.815 12.307 -1.106
-8.141 -10.469 -0.005
Fe Cl
2 6
Cartesian
3.621 7.050 0.822
8.162 15.889 1.854
1.749 3.405 0.397
-0.586 0.081 1.889
1.283 6.654 0.114
10.034 19.533 2.279
-1.663 0.919 -0.555
2.359 5.815 2.558
```

## Properties
**Symmetry**: I4/mmm
**Electronic total energy**: -3.41 eV per atom
**N(E_F)**: 1.1831 states/eV per atom
**E_form (uncorrected)**: 0.09 eV/atom